A plane-wave DFT calculation with PBE-GGA was carried out for a relaxed structure of Dy2FeSn.

Unit cell a=10.190 b=10.190 c=10.190 alpha=19.80 beta=19.80 gamma=19.80
Element x y z (fractional)
1 Dy 0.106 0.106 0.106
2 Dy 0.894 0.894 0.894
3 Fe 0.500 0.500 0.500
4 Sn 0.000 0.000 0.000

Properties
Mass density = 7.8 g/cm3
Calculated formation energy = 0.20 eV/atom
E_tot = -5.220 eV/atom
Size of the total moment = 0.258 μB/atom
V = 26.55 Å³ per atom

---

A plane-wave DFT calculation with PBE-GGA was carried out for a relaxed structure of Dy6Fe2Sn.

Unit cell a=8.379 b=8.379 c=8.379 alpha=112.11 beta=109.59 gamma=106.75
Element x y z (fractional)
1 Dy 0.030 0.237 0.792
2 Dy 0.185 0.282 0.467
3 Dy 0.185 0.718 0.902
4 Dy 0.329 0.015 0.686
5 Dy 0.329 0.643 0.314
6 Dy 0.445 0.237 0.208
7 Dy 0.555 0.763 0.792
8 Dy 0.671 0.357 0.686
9 Dy 0.671 0.985 0.314
10 Dy 0.815 0.282 0.098
11 Dy 0.815 0.718 0.533
12 Dy 0.970 0.763 0.208
13 Fe 0.109 0.609 0.500
14 Fe 0.332 0.000 0.332
15 Fe 0.668 0.000 0.668
16 Fe 0.891 0.391 0.500
17 Sn 0.000 0.000 0.000
18 Sn 0.500 0.500 0.000

Properties
Mass density = 8.9 g/cm3
Calculated formation energy = -0.21 eV/atom
E_tot = -5.606 eV/atom
Size of the total moment = 0.107 μB/atom
V = 25.10 Å³ per atom

---

A plane-wave DFT calculation with PBE-GGA was carried out for a relaxed structure of DyFeSn2.

Unit cell a=5.870 b=5.870 c=5.870 alpha=44.07 beta=44.07 gamma=44.07
Element x y z (fractional)
1 Dy 0.000 0.000 0.000
2 Fe 0.500 0.500 0.500
3 Sn 0.223 0.223 0.223
4 Sn 0.777 0.777 0.777

Properties
Mass density = 8.5 g/cm3
Calculated formation energy = -0.22 eV/atom
E_tot = -5.489 eV/atom
Size of the total moment = 0.415 μB/atom
V = 22.23 Å³ per atom